Record 1
Crystalline Hf3TiCu at its relaxed geometry. Source: Alexandria, functional GGA-PBE.

a b c (Å): 4.8755 4.8755 4.8755
angles (deg): 90.00 90.00 90.00
Element x y z (fractional)
1 Hf 0.0000 0.0000 0.5000
2 Hf 0.0000 0.5000 0.0000
3 Hf 0.5000 0.0000 0.0000
4 Ti 0.0000 0.0000 0.0000
5 Cu 0.5000 0.5000 0.5000

Properties
Its symmetry is No. 221. For the excess energy over the best structure of this formula in the dataset, the calculation gives 10.00 kcal/mol of atoms.

=====

Record 2
Crystalline Be5Zn at its relaxed geometry. Source: Alexandria, functional GGA-PBE.

a b c (Å): 3.2758 10.1180 3.3120
angles (deg): 90.00 90.00 90.00
Element x y z (fractional)
1 Be 0.0000 0.0000 0.0000
2 Be 0.0000 0.1742 0.5000
3 Be 0.0000 0.3247 0.0000
4 Be 0.0000 0.6753 0.0000
5 Be 0.0000 0.8258 0.5000
6 Be 0.5000 0.1753 0.0000
7 Be 0.5000 0.3258 0.5000
8 Be 0.5000 0.5000 0.0000
9 Be 0.5000 0.6742 0.5000
10 Be 0.5000 0.8247 0.0000
11 Zn 0.0000 0.5000 0.5000
12 Zn 0.5000 0.0000 0.5000

Properties
Its symmetry is No. 65. The value obtained for the total energy is -37.91 eV for the cell shown.

=====

Record 3
Crystalline SrInGaHIr at its relaxed geometry. Source: Alexandria, functional GGA-PBE.

a b c (Å): 4.7886 5.0556 5.9691
angles (deg): 109.13 106.28 103.76
Element x y z (fractional)
1 Sr 0.0000 0.0000 0.0000
2 In 0.7337 0.2430 0.4896
3 Ga 0.2106 0.7102 0.4247
4 H 0.5453 0.5305 0.0482
5 Ir 0.6833 0.6835 0.3664

Properties
Its symmetry is No. 1. For the excess energy over the best structure of this formula in the dataset, the calculation gives 3.31 kcal/mol of atoms.

=====

Record 4
Crystalline Fe3AgHg at its relaxed geometry. Source: Alexandria, functional GGA-PBE.

a b c (Å): 4.7326 4.7326 4.7326
angles (deg): 90.00 90.00 90.00
Element x y z (fractional)
1 Fe 0.0000 0.0000 0.5000
2 Fe 0.0000 0.5000 0.0000
3 Fe 0.5000 0.0000 0.0000
4 Ag 0.0000 0.0000 0.0000
5 Hg 0.5000 0.5000 0.5000

Properties
Its symmetry is No. 221. For the excess energy over the best structure of this formula in the dataset, the calculation gives 0.00 kcal/mol of atoms.